DFT (PBE-GGA) results for a relaxed PaPb2O5 crystal. Values from VASP.

```
&SYSTEM
  ibrav = 0, nat = 16, ntyp = 3
/
ATOMIC_SPECIES
Pa 231.04 Pa.upf
Pb 207.20 Pb.upf
O 16.00 O.upf
CELL_PARAMETERS angstrom
6.2541 -2.9486 0.0000
6.2541 2.9486 0.0000
-3.2013 0.0000 7.6676
ATOMIC_POSITIONS crystal
Pa 0.0000 0.0000 0.0000
Pa 0.0000 0.0000 0.5000
Pb 0.3335 0.3648 0.7270
Pb 0.3648 0.3335 0.2270
Pb 0.6352 0.6665 0.7730
Pb 0.6665 0.6352 0.2730
O 0.0077 0.6554 0.3562
O 0.1411 0.8589 0.7500
O 0.2020 0.6140 0.0121
O 0.3446 0.9923 0.1438
O 0.3860 0.7980 0.4879
O 0.6140 0.2020 0.5121
O 0.6554 0.0077 0.8562
O 0.7980 0.3860 0.9879
O 0.8589 0.1411 0.2500
O 0.9923 0.3446 0.6438
```

Computed properties:
The calculation puts the total DFT energy (no corrections) at -7.305 eV per atom. As for the space-group type: C2/c, No. 15. As for the size of the total moment: 0.0 μB per cell. As for the density of states at the Fermi level: 0.354 states/eV per atom.